1.
# As5Pb3S10

A geometry-optimized As5Pb3S10 structure (PBEsol, Alexandria).

Computed properties:
**Raw formation energy**: -216 meV/atom
**Theoretical density**: 5.36 g/cm3
**Crystal system**: monoclinic

Cell: 8.526 8.017 23.894 Å, 90.00 92.87 90.00°
Element x y z (fractional)
As 0.687 0.465 0.824
As 0.772 0.341 0.604
As 0.061 0.040 0.675
As 0.221 0.175 0.314
As 0.396 0.856 0.787
As 0.967 0.826 0.815
As 0.939 0.540 0.325
As 0.516 0.660 0.101
As 0.968 0.155 0.899
As 0.228 0.841 0.396
As 0.659 0.152 0.285
As 0.604 0.356 0.213
As 0.341 0.652 0.715
As 0.269 0.347 0.601
As 0.313 0.965 0.176
As 0.779 0.675 0.686
As 0.484 0.160 0.899
As 0.033 0.326 0.185
As 0.731 0.847 0.399
As 0.032 0.655 0.101
S 0.756 0.978 0.485
S 0.030 0.017 0.353
S 0.239 0.204 0.715
S 0.991 0.621 0.880
S 0.059 0.165 0.583
S 0.268 0.316 0.921
S 0.774 0.981 0.854
S 0.244 0.478 0.515
S 0.515 0.030 0.984
S 0.970 0.517 0.647
S 0.761 0.879 0.620
S 0.477 0.183 0.579
S 0.245 0.973 0.481
S 0.016 0.521 0.016
S 0.239 0.379 0.380
S 0.452 0.685 0.860
S 0.511 0.299 0.785
S 0.093 0.843 0.221
S 0.290 0.817 0.640
S 0.732 0.816 0.079
S 0.416 0.003 0.350
S 0.226 0.481 0.146
S 0.941 0.665 0.417
S 0.548 0.185 0.140
S 0.158 0.001 0.852
S 0.489 0.799 0.215
S 0.584 0.503 0.650
S 0.755 0.473 0.519
S 0.485 0.530 0.016
S 0.312 0.848 0.084
S 0.844 0.154 0.724
S 0.009 0.121 0.120
S 0.688 0.348 0.916
S 0.842 0.501 0.148
S 0.984 0.021 0.984
S 0.523 0.683 0.421
S 0.710 0.317 0.360
S 0.156 0.654 0.276
S 0.761 0.704 0.285
S 0.907 0.343 0.779
Pb 0.487 0.225 0.455
Pb 0.739 0.774 0.957
Pb 0.004 0.223 0.455
Pb 0.513 0.725 0.545
Pb 0.261 0.274 0.043
Pb 0.763 0.259 0.046
Pb 0.229 0.444 0.814
Pb 0.237 0.759 0.954
Pb 0.518 0.052 0.686
Pb 0.482 0.552 0.314
Pb 0.996 0.723 0.545
Pb 0.771 0.944 0.186

=====

2.
# Y2SiAg

A geometry-optimized Y2SiAg structure (PBEsol, Alexandria).

Computed properties:
**Raw formation energy**: -388 meV/atom
**Theoretical density**: 5.97 g/cm3
**Fermi-level density of states**: 3.17 states/eV per cell
**Crystal system**: tetragonal

Cell: 4.145 4.145 5.867 Å, 110.69 110.69 90.00°
Element x y z (fractional)
Ag 0.500 0.500 0.000
Y 0.000 0.000 0.000
Y 0.750 0.250 0.500
Si 0.250 0.750 0.500

=====

3.
# KIr3

A geometry-optimized KIr3 structure (PBEsol, Alexandria).

Computed properties:
**Theoretical density**: 16.16 g/cm3
**Energy of formation from the pure elements**: 0.95 eV per atom
**Fermi-level density of states**: 4.27 states/eV per cell
**Crystal system**: orthorhombic

Cell: 2.651 5.062 5.062 Å, 111.30 90.00 90.00°
Element x y z (fractional)
Ir 0.500 0.500 0.000
Ir 0.500 0.000 0.500
Ir 0.000 0.500 0.500
K 0.000 0.000 0.000

=====

4.
# ZnHgN2

A geometry-optimized ZnHgN2 structure (PBEsol, Alexandria).

Computed properties:
**Raw formation energy**: 981 meV/atom
**Theoretical density**: 8.86 g/cm3
**Fermi-level density of states**: 5.50 states/eV per cell
**Crystal system**: tetragonal

Cell: 4.944 4.944 5.705 Å, 115.67 115.67 90.00°
Element x y z (fractional)
Zn 0.500 0.500 0.000
Zn 0.750 0.250 0.500
N 0.419 0.875 0.250
N 0.125 0.169 0.750
N 0.831 0.375 0.250
N 0.625 0.581 0.750
Hg 0.250 0.750 0.500
Hg 0.000 0.000 0.000

=====

- Among the records above, which one has the highest theoretical density?
  KIr3

=====

- Look up the theoretical density of the third one.
  16.16 g/cm3

=====

- What is the formula in the first record?
  As5Pb3S10